! Nd2SmCuTe5 PBE-GGA relaxed; values from VASP
&SYSTEM
  ibrav = 0, nat = 18, ntyp = 4
/
ATOMIC_SPECIES
Nd 144.24 Nd.upf
Te 127.60 Te.upf
Sm 150.36 Sm.upf
Cu 63.55 Cu.upf
CELL_PARAMETERS angstrom
-2.505 2.278 -2.701
-5.839 -1.238 7.844
4.558 11.117 5.148
ATOMIC_POSITIONS crystal
Nd 0.123 0.246 0.307
Te 0.500 0.000 0.286
Te 0.315 0.631 0.340
Te 0.357 0.714 0.999
Sm 0.809 0.617 0.509
Nd 0.877 0.754 0.807
Sm 0.191 0.383 0.009
Te 0.041 0.081 0.064
Nd 0.108 0.217 0.685
Cu 0.570 0.141 0.958
Te 0.287 0.574 0.677
Te 0.959 0.919 0.564
Te 0.643 0.286 0.499
Te 0.685 0.369 0.840
Nd 0.892 0.783 0.185
Te 0.500 0.000 0.786
Cu 0.430 0.859 0.458
Te 0.713 0.426 0.177
! Volume in A^3/atom: 30.25
! Magnetization in μB per cell: 0.0
! VASP energy in eV/cell: -89.7